Entry 1:
DFT (meta-GGA SCAN) results for a PBEsol-optimized structure of ReTeAuN2.

a b c (Å): 3.8416 3.8416 7.0696
angles (deg): 90.00 90.00 90.00
Atoms (fractional coordinates):
Re1 0.0000 0.0000 0.0000
Te1 0.5000 0.5000 0.0000
Au1 0.5000 0.5000 0.5000
N1 0.0000 0.5000 0.5000
N2 0.5000 0.0000 0.5000

Values from the calculation:
The space-group type is P4/mmm, No. 123. Its magnetization is 6.03 μB/cell.

---

Entry 2:
DFT (meta-GGA SCAN) results for a PBEsol-optimized structure of Rh3AuN.

a b c (Å): 4.8236 4.8236 4.8236
angles (deg): 90.00 90.00 90.00
Atoms (fractional coordinates):
Rh1 0.0000 0.0000 0.5000
Rh2 0.0000 0.5000 0.0000
Rh3 0.5000 0.0000 0.0000
Au1 0.0000 0.0000 0.0000
N1 0.5000 0.5000 0.5000

Values from the calculation:
The space-group type is Pm-3m, No. 221. Its magnetization is 6.63 μB/cell.

---

Entry 3:
DFT (meta-GGA SCAN) results for a PBEsol-optimized structure of RhAu2N2.

a b c (Å): 4.8616 4.8616 4.8616
angles (deg): 128.68 128.68 75.52
Atoms (fractional coordinates):
Rh1 0.0000 0.0000 0.0000
Au1 0.2500 0.7500 0.5000
Au2 0.7500 0.2500 0.5000
N1 0.4240 0.4240 0.0000
N2 0.5760 0.5760 0.0000

Values from the calculation:
The space-group type is I4/mmm, No. 139. Its magnetization is 0.00 μB/cell.

---

Entry 4:
DFT (meta-GGA SCAN) results for a PBEsol-optimized structure of Te2RhAuN.

a b c (Å): 5.4438 5.4438 3.6173
angles (deg): 90.00 90.00 90.00
Atoms (fractional coordinates):
Te1 0.0000 0.5000 0.0000
Te2 0.5000 0.0000 0.0000
Rh1 0.0000 0.0000 0.5000
Au1 0.5000 0.5000 0.0000
N1 0.5000 0.5000 0.5000

Values from the calculation:
The space-group type is P4/mmm, No. 123. Its magnetization is 0.00 μB/cell.

---

Entry 5:
DFT (meta-GGA SCAN) results for a PBEsol-optimized structure of ZnRhAu2N.

a b c (Å): 5.0856 5.0856 3.5473
angles (deg): 90.00 90.00 90.00
Atoms (fractional coordinates):
Zn1 0.0000 0.0000 0.0000
Rh1 0.5000 0.5000 0.5000
Au1 0.0000 0.5000 0.5000
Au2 0.5000 0.0000 0.5000
N1 0.5000 0.5000 0.0000

Values from the calculation:
The space-group type is P4/mmm, No. 123. Its magnetization is 0.00 μB/cell.

---

Entry 6:
DFT (meta-GGA SCAN) results for a PBEsol-optimized structure of TeRuAuN2.

a b c (Å): 3.7572 3.7572 6.8314
angles (deg): 90.00 90.00 90.00
Atoms (fractional coordinates):
Te1 0.0000 0.0000 0.0000
Ru1 0.5000 0.5000 0.0000
Au1 0.0000 0.0000 0.5000
N1 0.0000 0.5000 0.5000
N2 0.5000 0.0000 0.5000

Values from the calculation:
The space-group type is P4/mmm, No. 123. Its magnetization is 0.97 μB/cell.

---

We obtain formation energy from raw total energies values of 51.4 61.3 24.2 27.4 14.1 45.9 kcal/mol of atoms for the records listed above, in that order.